Record 1
CoAs2Pb after structural relaxation. Source: Alexandria via LeMat-Bulk, functional GGA-PBE.

It has space group C2/m (No. 12), with a = 5.457 Å, b = 7.770 Å, c = 4.367 Å, α = 90.00°, β = 116.13° and γ = 90.00°. Symmetry generates all atoms from Co at (0.000, 0.000, 0.000), As at (0.250, 0.250, 0.500) and Pb at (0.000, 0.500, 0.000).

The density of states at the Fermi level is 7.79 states/eV/cell. For the density, the calculation gives 8.3 g/cm³. The value obtained for the total energy is -36.20 eV for the cell shown. For the magnetic moment, the calculation gives 1.544 μB per formula unit. As for the crystal system: monoclinic.

---

Record 2
CoAs2Pb after structural relaxation. Source: Alexandria via LeMat-Bulk, functional GGA-PBE.

It has space group I4/mmm (No. 139), with a = 4.523 Å, b = 4.523 Å, c = 7.722 Å, α = 90.00°, β = 90.00° and γ = 90.00°. Symmetry generates all atoms from Co at (0.000, 0.000, 0.000), As at (0.000, 0.500, 0.250) and Pb at (0.000, 0.000, 0.500).

The density of states at the Fermi level is 5.83 states/eV/cell. For the density, the calculation gives 8.7 g/cm³. The value obtained for the total energy is -35.73 eV for the cell shown. For the magnetic moment, the calculation gives 1.294 μB per formula unit. As for the crystal system: tetragonal.

---

Record 3
CoAs2Pb after structural relaxation. Source: Alexandria via LeMat-Bulk, functional GGA-PBE.

It has space group R3m (No. 160, hexagonal axes), with a = 3.5919 Å, b = 3.5919 Å, c = 21.2281 Å, α = 90.00°, β = 90.00° and γ = 120.00°. Symmetry generates all atoms from Co at (0.0000, 0.0000, 0.0000), As at (0.0000, 0.0000, 0.2824), As at (0.0000, 0.0000, 0.5244) and Pb at (0.0000, 0.0000, 0.7560).

The density of states at the Fermi level is 9.00 states/eV/cell. For the density, the calculation gives 8.7 g/cm³. The value obtained for the total energy is -57.07 eV for the cell shown. For the magnetic moment, the calculation gives 0.000 μB per formula unit. As for the crystal system: trigonal.

---

Record 4
Co3AsPb after structural relaxation. Source: Alexandria via LeMat-Bulk, functional GGA-PBE.

It has space group Pm-3m (No. 221), with a = 4.760 Å, b = 4.760 Å, c = 4.760 Å, α = 90.00°, β = 90.00° and γ = 90.00°. Symmetry generates all atoms from Co at (0.000, 0.000, 0.500), As at (0.500, 0.500, 0.500) and Pb at (0.000, 0.000, 0.000).

The density of states at the Fermi level is 10.40 states/eV/cell. For the density, the calculation gives 7.1 g/cm³. The value obtained for the total energy is -21.32 eV for the cell shown. For the magnetic moment, the calculation gives 3.618 μB per formula unit. As for the crystal system: cubic.

---

Record 5
Co2AsPb2 after structural relaxation. Source: Alexandria via LeMat-Bulk, functional GGA-PBE.

It has space group I4/mmm (No. 139), with a = 3.372 Å, b = 3.372 Å, c = 18.260 Å, α = 90.00°, β = 90.00° and γ = 90.00°. Symmetry generates all atoms from Co at (0.000, 0.500, 0.250), As at (0.000, 0.000, 0.000) and Pb at (0.000, 0.000, 0.378).

The density of states at the Fermi level is 9.45 states/eV/cell. For the density, the calculation gives 9.7 g/cm³. The value obtained for the total energy is -48.02 eV for the cell shown. For the magnetic moment, the calculation gives 2.784 μB per formula unit. As for the crystal system: tetragonal.

---

Record 6
CoAs2Pb after structural relaxation. Source: Alexandria via LeMat-Bulk, functional GGA-PBE.

It has space group P2/m (No. 10), with a = 4.636 Å, b = 3.845 Å, c = 4.851 Å, α = 90.00°, β = 112.84° and γ = 90.00°. Symmetry generates all atoms from Co at (0.000, 0.000, 0.000), As at (0.193, 0.500, 0.840) and Pb at (0.500, 0.000, 0.500).

The density of states at the Fermi level is 1.80 states/eV/cell. For the density, the calculation gives 8.7 g/cm³. The value obtained for the total energy is -20.09 eV for the cell shown. For the magnetic moment, the calculation gives 0.000 μB per formula unit. As for the crystal system: monoclinic.

---

Record 7
CoAs2Pb after structural relaxation. Source: Alexandria via LeMat-Bulk, functional GGA-PBE.

It has space group Immm (No. 71), with a = 3.002 Å, b = 5.565 Å, c = 9.770 Å, α = 90.00°, β = 90.00° and γ = 90.00°. Symmetry generates all atoms from Co at (0.000, 0.000, 0.000), As at (0.000, 0.500, 0.313) and Pb at (0.000, 0.000, 0.500).

The density of states at the Fermi level is 5.97 states/eV/cell. For the density, the calculation gives 8.5 g/cm³. The value obtained for the total energy is -38.73 eV for the cell shown. For the magnetic moment, the calculation gives 0.131 μB per formula unit. As for the crystal system: orthorhombic.

---

Record 8
CoAsPbSe2 after structural relaxation. Source: Alexandria via LeMat-Bulk, functional GGA-PBE.

It has space group P4/mmm (No. 123), with a = 4.909 Å, b = 4.909 Å, c = 4.309 Å, α = 90.00°, β = 90.00° and γ = 90.00°. Symmetry generates all atoms from Co at (0.000, 0.000, 0.000), As at (0.000, 0.000, 0.500), Pb at (0.500, 0.500, 0.500) and Se at (0.000, 0.500, 0.000).

The density of states at the Fermi level is 5.64 states/eV/cell. For the density, the calculation gives 8.0 g/cm³. The formation energy from raw total energies comes out at 0.60 eV per formula unit. The value obtained for the total energy is -21.83 eV for the cell shown. For the magnetic moment, the calculation gives 0.000 μB per formula unit. As for the crystal system: tetragonal.

---

Q: Look up the magnetic moment of the fifth one.
A: 2.784 μB per formula unit